Entry 1:
A plane-wave DFT calculation with PBE was carried out for an optimized crystal structure of MnAlTl2Co.

Cell and atoms, written as POSCAR:
```
MnAlTl2Co
1.0
-2.610 4.239 0.677
-3.050 -1.356 -3.268
-2.770 -2.268 3.526
Tl Mn Co Al
2 1 1 1
direct
0.500 0.000 0.000
0.000 0.000 0.500
0.000 0.500 0.000
0.000 0.000 0.000
0.500 0.500 0.500
```

Values from the calculation:
The total energy is -4.3232 eV/atom. The calculation puts the density of states at the Fermi level at 3.11 states/eV/f.u. For the size of the total moment, the calculation gives 5.00 μB per formula unit. The energy of formation from the pure elements is 0.627 eV per atom. Its space group is P4/mmm, No. 123.

---

Entry 2:
A plane-wave DFT calculation with PBE was carried out for an optimized crystal structure of Y5TmPu.

Cell and atoms, written as POSCAR:
```
Y5TmPu
1.0
-1.349 3.380 4.483
6.528 -0.799 2.821
3.997 5.348 -2.576
Y Tm Pu
5 1 1
direct
0.021 0.759 0.759
0.500 0.000 0.000
0.000 0.311 0.689
0.000 0.689 0.311
0.979 0.241 0.241
0.500 0.500 0.500
0.000 0.000 0.000
```

Values from the calculation:
The total energy is -6.3966 eV/atom. The calculation puts the density of states at the Fermi level at 7.87 states/eV/f.u. For the size of the total moment, the calculation gives 5.66 μB per formula unit. The energy of formation from the pure elements is 0.907 eV per atom. Its space group is C2/m, No. 12.

---

Entry 3:
A plane-wave DFT calculation with PBE was carried out for an optimized crystal structure of La4Ce3PuS8.

Cell and atoms, written as POSCAR:
```
La4Ce3PuS8
1.0
-1.864 7.353 -3.002
-0.981 -3.282 -7.431
-4.162 -2.989 6.348
Ce S La Pu
3 8 4 1
direct
0.000 0.500 0.500
0.500 0.500 0.500
0.500 0.500 0.000
0.245 0.739 0.490
0.747 0.742 0.494
0.245 0.739 0.994
0.251 0.261 0.006
0.755 0.261 0.510
0.755 0.261 0.006
0.253 0.258 0.506
0.749 0.739 0.994
0.500 0.000 0.000
0.000 0.000 0.500
0.000 0.000 0.000
0.500 0.000 0.500
0.000 0.500 0.000
```

Values from the calculation:
The total energy is -7.3711 eV/atom. The calculation puts the density of states at the Fermi level at 23.68 states/eV/f.u. For the size of the total moment, the calculation gives 7.88 μB per formula unit. Its space group is R-3m, No. 166. The uncorrected formation energy comes out at -2.07 eV per atom.

---

Entry 4:
A plane-wave DFT calculation with PBE was carried out for an optimized crystal structure of MgZnReSe2.

Cell and atoms, written as POSCAR:
```
MgZnReSe2
1.0
4.916 0.000 0.000
0.000 4.785 0.000
0.000 0.000 4.916
Se Mg Zn Re
2 1 1 1
direct
0.500 0.000 0.000
0.000 0.000 0.500
0.000 0.500 0.000
0.000 0.000 0.000
0.500 0.500 0.500
```

Values from the calculation:
The total energy is -3.2014 eV/atom. The calculation puts the density of states at the Fermi level at 3.87 states/eV/f.u. For the size of the total moment, the calculation gives 3.79 μB per formula unit. Its space group is P4/mmm, No. 123. The uncorrected formation energy comes out at 1.26 eV per atom.

---

Entry 5:
A plane-wave DFT calculation with PBE was carried out for an optimized crystal structure of Tm12FeSb6.

Cell and atoms, written as POSCAR:
```
Tm12FeSb6
1.0
8.386 -0.073 -0.088
-1.344 8.278 -0.088
-1.344 -1.565 8.129
Tm Sb Fe
12 6 1
direct
0.055 0.996 0.305
0.996 0.305 0.055
0.695 0.945 0.004
0.544 0.199 0.414
0.199 0.414 0.544
0.004 0.695 0.945
0.801 0.586 0.456
0.456 0.801 0.586
0.945 0.004 0.695
0.305 0.055 0.996
0.586 0.456 0.801
0.414 0.544 0.199
0.683 0.882 0.352
0.352 0.683 0.882
0.648 0.317 0.118
0.317 0.118 0.648
0.882 0.352 0.683
0.118 0.648 0.317
0.000 0.000 0.000
```

Values from the calculation:
The total energy is -5.1359 eV/atom. The calculation puts the density of states at the Fermi level at 12.47 states/eV/f.u. For the size of the total moment, the calculation gives 0.00 μB per formula unit. Its space group is R-3, No. 148. The uncorrected formation energy comes out at -0.56 eV per atom.

---

Entry 6:
A plane-wave DFT calculation with PBE was carried out for an optimized crystal structure of Tl2InP.

Cell and atoms, written as POSCAR:
```
Tl2InP
1.0
-2.682 7.489 -0.118
-5.391 5.346 -2.378
-5.658 5.315 1.742
P In Tl
1 1 2
direct
0.750 0.750 0.750
0.250 0.250 0.250
0.484 0.484 0.484
0.016 0.016 0.016
```

Values from the calculation:
The total energy is -3.0523 eV/atom. As for the energy relative to the lowest polymorph listed for this composition: 24.5 kJ/mol of formula units. The calculation puts the density of states at the Fermi level at 1.37 states/eV/f.u. For the size of the total moment, the calculation gives 0.00 μB per formula unit. The energy of formation from the pure elements is 0.168 eV per atom. Its space group is R-3m, No. 166.

---

Entry 7:
A plane-wave DFT calculation with PBE was carried out for an optimized crystal structure of AlFeIr2.

Cell and atoms, written as POSCAR:
```
AlFeIr2
1.0
5.367 0.000 0.000
0.000 5.367 0.000
2.684 2.684 5.502
Al Fe Ir
2 2 4
direct
0.250 0.750 0.500
0.500 0.500 0.000
0.000 0.000 0.000
0.750 0.250 0.500
0.092 0.625 0.250
0.658 0.125 0.250
0.875 0.908 0.750
0.375 0.342 0.750
```

Values from the calculation:
The total energy is -6.7676 eV/atom. The calculation puts the density of states at the Fermi level at 3.68 states/eV/f.u. For the size of the total moment, the calculation gives 0.00 μB per formula unit. The energy of formation from the pure elements is 0.714 eV per atom. Its space group is I-42d, No. 122.

---

Entry 8:
A plane-wave DFT calculation with PBE was carried out for an optimized crystal structure of La2SbPRh6.

Cell and atoms, written as POSCAR:
```
La2SbPRh6
1.0
-2.651 -3.558 3.763
6.832 -3.279 1.712
1.216 5.885 6.422
Rh Sb P La
12 2 2 4
direct
0.500 0.107 0.747
0.500 0.107 0.253
0.767 0.011 0.500
0.759 0.434 0.500
0.000 0.893 0.753
0.233 0.011 0.500
0.241 0.434 0.500
0.741 0.566 0.000
0.267 0.989 0.000
0.733 0.989 0.000
0.000 0.893 0.247
0.259 0.566 0.000
0.000 0.714 0.500
0.500 0.286 0.000
0.000 0.778 0.000
0.500 0.222 0.500
0.500 0.725 0.264
0.000 0.275 0.236
0.500 0.725 0.736
0.000 0.275 0.764
```

Values from the calculation:
The total energy is -7.0631 eV/atom. The calculation puts the density of states at the Fermi level at 5.22 states/eV/f.u. For the size of the total moment, the calculation gives 0.00 μB per formula unit. Its space group is Pmmn, No. 59. The uncorrected formation energy comes out at -0.71 eV per atom.

---

Q: Number 8 is which compound?
A: La2SbPRh6